(1)
Nd2TmTe | GGA-PBE | optimized geometry Values from VASP.

Quantum ESPRESSO input file:
```
&SYSTEM
  ibrav = 0, nat = 4, ntyp = 3
/
ATOMIC_SPECIES
Te 127.60 Te.upf
Tm 168.93 Tm.upf
Nd 144.24 Nd.upf
CELL_PARAMETERS angstrom
3.974 0.000 0.000
1.987 3.441 0.000
1.987 1.147 9.968
ATOMIC_POSITIONS angstrom
Te 0.000 0.000 0.000
Tm 3.974 2.294 4.984
Nd 1.987 1.147 2.186
Nd 5.961 3.441 7.783
```

Results
Energy relative to the lowest polymorph listed for this composition in eV per atom: 0.061
E_tot in eV per atom: -4.798
Total magnetization in μB per cell: 0.53
Calculated volume in Å³/f.u.: 136.3
N(E_F) in states/eV/cell: 4.41
SG: R-3m

(2)
PrSiAg | GGA-PBE | optimized geometry Values from VASP.

Quantum ESPRESSO input file:
```
&SYSTEM
  ibrav = 0, nat = 3, ntyp = 3
/
ATOMIC_SPECIES
Pr 140.91 Pr.upf
Si 28.09 Si.upf
Ag 107.87 Ag.upf
CELL_PARAMETERS angstrom
-0.980 2.333 3.034
-4.102 -1.779 0.043
3.256 -1.829 2.459
ATOMIC_POSITIONS angstrom
Pr 0.150 -0.257 3.676
Si -0.163 0.388 0.504
Ag -1.813 -1.406 1.354
```

Results
E_tot in eV per atom: -4.831
Total magnetization in μB per cell: 0.00
Calculated volume in Å³/f.u.: 68.4
N(E_F) in states/eV/cell: 1.88
SG: P-6m2

(3)
AlAs2Br | GGA-PBE | optimized geometry Values from VASP.

Quantum ESPRESSO input file:
```
&SYSTEM
  ibrav = 0, nat = 4, ntyp = 3
/
ATOMIC_SPECIES
As 74.92 As.upf
Al 26.98 Al.upf
Br 79.90 Br.upf
CELL_PARAMETERS angstrom
8.795 0.073 0.044
7.924 3.816 0.044
7.924 1.843 3.342
ATOMIC_POSITIONS angstrom
As 0.167 0.039 0.023
As 7.102 1.652 0.988
Al 18.177 4.228 2.529
Br 11.519 2.680 1.603
```

Results
Energy relative to the lowest polymorph listed for this composition in eV per atom: 0.040
E_tot in eV per atom: -3.862
Total magnetization in μB per cell: 0.00
Calculated volume in Å³/f.u.: 108.8
SG: R3m

(4)
Na3MgTl4 | GGA-PBE | optimized geometry Values from VASP.

Quantum ESPRESSO input file:
```
&SYSTEM
  ibrav = 0, nat = 8, ntyp = 3
/
ATOMIC_SPECIES
Na 22.99 Na.upf
Mg 24.30 Mg.upf
Tl 204.38 Tl.upf
CELL_PARAMETERS angstrom
7.133 -0.337 -0.921
-3.806 6.042 0.921
-3.811 -1.600 5.895
ATOMIC_POSITIONS angstrom
Na 0.039 -0.023 4.612
Na 2.817 -1.643 4.219
Na 0.040 3.799 2.127
Mg -2.743 1.599 5.004
Tl -5.333 3.110 5.468
Tl -1.702 0.993 2.218
Tl 1.889 0.804 1.586
Tl -3.576 4.002 2.507
```

Results
Energy relative to the lowest polymorph listed for this composition in eV per atom: 0.084
E_tot in eV per atom: -1.893
ΔE_f in eV/atom: -0.02
Total magnetization in μB per cell: 0.00
Calculated volume in Å³/f.u.: 231.4
N(E_F) in states/eV/cell: 3.74
SG: Imm2

(5)
CsVCrSe3 | GGA-PBE | optimized geometry Values from VASP.

Quantum ESPRESSO input file:
```
&SYSTEM
  ibrav = 0, nat = 12, ntyp = 4
/
ATOMIC_SPECIES
Cs 132.91 Cs.upf
V 50.94 V.upf
Cr 52.00 Cr.upf
Se 78.96 Se.upf
CELL_PARAMETERS angstrom
3.717 0.000 0.000
0.000 9.269 -1.185
0.000 -3.639 9.554
ATOMIC_POSITIONS angstrom
Cs 0.929 1.274 2.132
Cs 2.788 4.356 6.236
V 0.929 -1.498 5.581
V 2.788 7.128 2.788
Cr 0.929 5.673 0.653
Cr 2.788 -0.043 7.715
Se 2.788 7.469 0.394
Se 0.929 -1.839 7.975
Se 0.929 5.517 3.302
Se 2.788 0.113 5.066
Se 2.788 3.956 0.660
Se 0.929 1.674 7.708
```

Results
E_tot in eV per atom: -5.745
Total magnetization in μB per cell: 5.49
Calculated volume in Å³/f.u.: 156.6
N(E_F) in states/eV/cell: 3.51
SG: P2_1/m

(6)
TeMoOs2 | GGA-PBE | optimized geometry Values from VASP.

Quantum ESPRESSO input file:
```
&SYSTEM
  ibrav = 0, nat = 4, ntyp = 3
/
ATOMIC_SPECIES
Mo 95.94 Mo.upf
Os 190.23 Os.upf
Te 127.60 Te.upf
CELL_PARAMETERS angstrom
-2.850 -0.302 0.105
1.410 -2.368 -0.794
0.607 -2.629 8.924
ATOMIC_POSITIONS angstrom
Mo -0.265 -3.306 6.349
Os 0.590 -2.553 8.666
Os 0.321 -1.390 4.720
Te -0.568 -1.992 1.887
```

Results
E_tot in eV per atom: -8.262
Total magnetization in μB per cell: 0.00
Calculated volume in Å³/f.u.: 69.9
N(E_F) in states/eV/cell: 4.03
SG: Cmmm

What did the fourth record say?
Na3MgTl4 | GGA-PBE | optimized geometry Values from VASP.

Quantum ESPRESSO input file:
```
&SYSTEM
  ibrav = 0, nat = 8, ntyp = 3
/
ATOMIC_SPECIES
Na 22.99 Na.upf
Mg 24.30 Mg.upf
Tl 204.38 Tl.upf
CELL_PARAMETERS angstrom
7.133 -0.337 -0.921
-3.806 6.042 0.921
-3.811 -1.600 5.895
ATOMIC_POSITIONS angstrom
Na 0.039 -0.023 4.612
Na 2.817 -1.643 4.219
Na 0.040 3.799 2.127
Mg -2.743 1.599 5.004
Tl -5.333 3.110 5.468
Tl -1.702 0.993 2.218
Tl 1.889 0.804 1.586
Tl -3.576 4.002 2.507
```

Results
Energy relative to the lowest polymorph listed for this composition in eV per atom: 0.084
E_tot in eV per atom: -1.893
ΔE_f in eV/atom: -0.02
Total magnetization in μB per cell: 0.00
Calculated volume in Å³/f.u.: 231.4
N(E_F) in states/eV/cell: 3.74
SG: Imm2

Which of these has the highest calculated volume?
Na3MgTl4

Repeat the fourth record exactly.
Na3MgTl4 | GGA-PBE | optimized geometry Values from VASP.

Quantum ESPRESSO input file:
```
&SYSTEM
  ibrav = 0, nat = 8, ntyp = 3
/
ATOMIC_SPECIES
Na 22.99 Na.upf
Mg 24.30 Mg.upf
Tl 204.38 Tl.upf
CELL_PARAMETERS angstrom
7.133 -0.337 -0.921
-3.806 6.042 0.921
-3.811 -1.600 5.895
ATOMIC_POSITIONS angstrom
Na 0.039 -0.023 4.612
Na 2.817 -1.643 4.219
Na 0.040 3.799 2.127
Mg -2.743 1.599 5.004
Tl -5.333 3.110 5.468
Tl -1.702 0.993 2.218
Tl 1.889 0.804 1.586
Tl -3.576 4.002 2.507
```

Results
Energy relative to the lowest polymorph listed for this composition in eV per atom: 0.084
E_tot in eV per atom: -1.893
ΔE_f in eV/atom: -0.02
Total magnetization in μB per cell: 0.00
Calculated volume in Å³/f.u.: 231.4
N(E_F) in states/eV/cell: 3.74
SG: Imm2